This record from the Alexandria database describes crystalline Ti2PtRh2 at its relaxed geometry. The functional is PBE.

Calculated values
- D(E_F): 8.17 states/eV per cell
- Energy of formation: -3.6 eV per formula unit
- Size of the total moment: 0.000 μB/atom
- E above lowest polymorph: 68 meV per atom
- Calculated total energy: -8.018 eV per atom

```
data_Ti2PtRh2
_space_group_name_H-M_alt 'P 4/m b m'
_space_group_IT_number 127
_space_group_name_Hall '-P 4 2ab'
_cell_length_a 7.2488
_cell_length_b 7.2488
_cell_length_c 2.9272
_cell_angle_alpha 90.00
_cell_angle_beta 90.00
_cell_angle_gamma 90.00
loop_
_atom_site_label
_atom_site_type_symbol
_atom_site_fract_x
_atom_site_fract_y
_atom_site_fract_z
_atom_site_occupancy
Ti1 Ti 0.1675 0.3325 0.0000 1
Pt1 Pt 0.0000 0.0000 0.5000 1
Rh1 Rh 0.1342 0.6342 0.5000 1
```


This record from the Alexandria database describes crystalline TiPt2Rh8 at its relaxed geometry. The functional is PBE.

Calculated values
- D(E_F): 31.56 states/eV per cell
- Energy of formation: 0.5 eV per formula unit
- Size of the total moment: 0.000 μB/atom
- Calculated total energy: -7.121 eV per atom

```
data_TiPt2Rh8
_space_group_name_H-M_alt 'C 1 2/m 1'
_space_group_IT_number 12
_cell_length_a 6.9422
_cell_length_b 12.2599
_cell_length_c 4.6392
_cell_angle_alpha 90.00
_cell_angle_beta 120.94
_cell_angle_gamma 90.00
loop_
_space_group_symop_operation_xyz
'x,y,z'
'-x,-y,-z'
'-x,y,-z'
'x,-y,z'
'x+1/2,y+1/2,z'
'-x+1/2,-y+1/2,-z'
'-x+1/2,y+1/2,-z'
'x+1/2,-y+1/2,z'
loop_
_atom_site_label
_atom_site_type_symbol
_atom_site_fract_x
_atom_site_fract_y
_atom_site_fract_z
_atom_site_occupancy
Ti1 Ti 0.0000 0.0000 0.0000 1
Pt1 Pt 0.0000 0.3081 0.5000 1
Rh1 Rh 0.0000 0.2044 0.0000 1
Rh2 Rh 0.0867 0.5000 0.8087 1
Rh3 Rh 0.2085 0.1123 0.6477 1
```


This record from the Alexandria database describes crystalline Ti3PtRh5 at its relaxed geometry. The functional is PBE.

Calculated values
- D(E_F): 13.72 states/eV per cell
- Energy of formation: -6.6 eV per formula unit
- Size of the total moment: 0.000 μB/atom
- Calculated total energy: -8.116 eV per atom

```
data_Ti3PtRh5
_space_group_name_H-M_alt 'P 63/m c m'
_space_group_IT_number 193
_space_group_name_Hall '-P 6c 2'
_cell_length_a 7.5178
_cell_length_b 7.5178
_cell_length_c 5.4293
_cell_angle_alpha 90.00
_cell_angle_beta 90.00
_cell_angle_gamma 120.00
loop_
_atom_site_label
_atom_site_type_symbol
_atom_site_fract_x
_atom_site_fract_y
_atom_site_fract_z
_atom_site_occupancy
Ti1 Ti 0.0000 0.3390 0.2500 1
Pt1 Pt 0.0000 0.0000 0.0000 1
Rh1 Rh 0.0000 0.3324 0.7500 1
Rh2 Rh 0.3333 0.6667 0.0000 1
```


This record from the Alexandria database describes crystalline TiPt6Rh8 at its relaxed geometry. The functional is PBE.

Calculated values
- D(E_F): 62.07 states/eV per cell
- Energy of formation: -1.0 eV per formula unit
- Size of the total moment: 0.000 μB/atom
- Calculated total energy: -6.932 eV per atom

```
data_TiPt6Rh8
_space_group_name_H-M_alt 'R -3'
_space_group_IT_number 148
_space_group_name_Hall '-R 3'
_cell_length_a 6.9332
_cell_length_b 6.9332
_cell_length_c 16.4228
_cell_angle_alpha 90.00
_cell_angle_beta 90.00
_cell_angle_gamma 120.00
loop_
_atom_site_label
_atom_site_type_symbol
_atom_site_fract_x
_atom_site_fract_y
_atom_site_fract_z
_atom_site_occupancy
Ti1 Ti 0.0000 0.0000 0.0000 1
Pt1 Pt 0.0248 0.2588 0.7070 1
Rh1 Rh 0.0000 0.0000 0.4213 1
Rh2 Rh 0.0581 0.8044 0.1339 1
```


This record from the Alexandria database describes crystalline Ti2PtRh2 at its relaxed geometry. The functional is PBE.

Calculated values
- D(E_F): 4.60 states/eV per cell
- Energy of formation: -2.9 eV per formula unit
- Size of the total moment: 0.000 μB/atom
- E above lowest polymorph: 192 meV per atom
- Calculated total energy: -7.895 eV per atom

```
data_Ti2PtRh2
_space_group_name_H-M_alt 'P 4/m b m'
_space_group_IT_number 127
_space_group_name_Hall '-P 4 2ab'
_cell_length_a 7.3064
_cell_length_b 7.3064
_cell_length_c 2.9164
_cell_angle_alpha 90.00
_cell_angle_beta 90.00
_cell_angle_gamma 90.00
loop_
_atom_site_label
_atom_site_type_symbol
_atom_site_fract_x
_atom_site_fract_y
_atom_site_fract_z
_atom_site_occupancy
Ti1 Ti 0.1578 0.3422 0.0000 1
Pt1 Pt 0.0000 0.0000 0.0000 1
Rh1 Rh 0.1401 0.6401 0.5000 1
```


This record from the Alexandria database describes crystalline TiPt6Rh5 at its relaxed geometry. The functional is PBE.

Calculated values
- D(E_F): 32.73 states/eV per cell
- Energy of formation: -3.5 eV per formula unit
- Size of the total moment: 0.000 μB/atom
- Calculated total energy: -7.031 eV per atom

```
data_TiPt6Rh5
_space_group_name_H-M_alt 'I m m m'
_space_group_IT_number 71
_space_group_name_Hall '-I 2 2'
_cell_length_a 3.8949
_cell_length_b 7.8676
_cell_length_c 11.7066
_cell_angle_alpha 90.00
_cell_angle_beta 90.00
_cell_angle_gamma 90.00
loop_
_atom_site_label
_atom_site_type_symbol
_atom_site_fract_x
_atom_site_fract_y
_atom_site_fract_z
_atom_site_occupancy
Ti1 Ti 0.0000 0.0000 0.0000 1
Pt1 Pt 0.0000 0.2473 0.1668 1
Pt2 Pt 0.0000 0.2567 0.5000 1
Rh1 Rh 0.0000 0.0000 0.3379 1
Rh2 Rh 0.0000 0.5000 0.0000 1
Rh3 Rh 0.0000 0.5000 0.3373 1
```


Q: What is the energy of formation in the first record?
A: -3.6 eV per formula unit